No. 1
Cs3InI6 | GGA-PBEsol | relaxed

```
data_Cs3InI6
_chemical_formula_sum 'Cs12 In4 I24'
_symmetry_space_group_name_H-M 'F m -3 m'
_symmetry_Int_Tables_number 225
_symmetry_space_group_name_Hall '-F 4 2 3'
_cell_length_a 12.763
_cell_length_b 12.763
_cell_length_c 12.763
_cell_angle_alpha 90.00
_cell_angle_beta 90.00
_cell_angle_gamma 90.00
loop_
_atom_site_label
_atom_site_fract_x
_atom_site_fract_y
_atom_site_fract_z
Cs1 0.000 0.000 0.000
Cs2 0.250 0.250 0.250
In1 0.000 0.000 0.500
I1 0.000 0.000 0.274
```

Computed properties:
Uncorrected formation energy, eV per atom: -1.059


No. 2
Cs2NaInI6 | GGA-PBEsol | relaxed

```
data_Cs2NaInI6
_chemical_formula_sum 'Cs8 Na4 In4 I24'
_symmetry_space_group_name_H-M 'F m -3 m'
_symmetry_Int_Tables_number 225
_symmetry_space_group_name_Hall '-F 4 2 3'
_cell_length_a 11.935
_cell_length_b 11.935
_cell_length_c 11.935
_cell_angle_alpha 90.00
_cell_angle_beta 90.00
_cell_angle_gamma 90.00
loop_
_atom_site_label
_atom_site_fract_x
_atom_site_fract_y
_atom_site_fract_z
Cs1 0.250 0.250 0.250
Na1 0.000 0.000 0.000
In1 0.000 0.000 0.500
I1 0.000 0.000 0.258
```

Computed properties:
Uncorrected formation energy, eV per atom: -1.048


No. 3
Cs2InSbI6 | GGA-PBEsol | relaxed

```
data_Cs2InSbI6
_chemical_formula_sum 'Cs8 In4 Sb4 I24'
_symmetry_space_group_name_H-M 'F m -3 m'
_symmetry_Int_Tables_number 225
_symmetry_space_group_name_Hall '-F 4 2 3'
_cell_length_a 12.210
_cell_length_b 12.210
_cell_length_c 12.210
_cell_angle_alpha 90.00
_cell_angle_beta 90.00
_cell_angle_gamma 90.00
loop_
_atom_site_label
_atom_site_fract_x
_atom_site_fract_y
_atom_site_fract_z
Cs1 0.250 0.250 0.250
In1 0.000 0.000 0.000
Sb1 0.000 0.000 0.500
I1 0.000 0.000 0.254
```

Computed properties:
Uncorrected formation energy, eV per atom: -0.859


No. 4
Cs2ScInI6 | GGA-PBEsol | relaxed

```
data_Cs2ScInI6
_chemical_formula_sum 'Cs8 Sc4 In4 I24'
_symmetry_space_group_name_H-M 'F m -3 m'
_symmetry_Int_Tables_number 225
_symmetry_space_group_name_Hall '-F 4 2 3'
_cell_length_a 12.139
_cell_length_b 12.139
_cell_length_c 12.139
_cell_angle_alpha 90.00
_cell_angle_beta 90.00
_cell_angle_gamma 90.00
loop_
_atom_site_label
_atom_site_fract_x
_atom_site_fract_y
_atom_site_fract_z
Cs1 0.250 0.250 0.250
Sc1 0.000 0.000 0.000
In1 0.000 0.000 0.500
I1 0.000 0.000 0.235
```

Computed properties:
Uncorrected formation energy, eV per atom: -1.190


No. 5
Cs2TlInI6 | GGA-PBEsol | relaxed

```
data_Cs2TlInI6
_chemical_formula_sum 'Cs8 Tl4 In4 I24'
_symmetry_space_group_name_H-M 'F m -3 m'
_symmetry_Int_Tables_number 225
_symmetry_space_group_name_Hall '-F 4 2 3'
_cell_length_a 12.214
_cell_length_b 12.214
_cell_length_c 12.214
_cell_angle_alpha 90.00
_cell_angle_beta 90.00
_cell_angle_gamma 90.00
loop_
_atom_site_label
_atom_site_fract_x
_atom_site_fract_y
_atom_site_fract_z
Cs1 0.250 0.250 0.250
Tl1 0.000 0.000 0.000
In1 0.000 0.000 0.500
I1 0.000 0.000 0.262
```

Computed properties:
Uncorrected formation energy, eV per atom: -0.921


No. 6
Cs2YInI6 | GGA-PBEsol | relaxed

```
data_Cs2YInI6
_chemical_formula_sum 'Cs8 Y4 In4 I24'
_symmetry_space_group_name_H-M 'F m -3 m'
_symmetry_Int_Tables_number 225
_symmetry_space_group_name_Hall '-F 4 2 3'
_cell_length_a 12.429
_cell_length_b 12.429
_cell_length_c 12.429
_cell_angle_alpha 90.00
_cell_angle_beta 90.00
_cell_angle_gamma 90.00
loop_
_atom_site_label
_atom_site_fract_x
_atom_site_fract_y
_atom_site_fract_z
Cs1 0.250 0.250 0.250
Y1 0.000 0.000 0.000
In1 0.000 0.000 0.500
I1 0.000 0.000 0.240
```

Computed properties:
Uncorrected formation energy, eV per atom: -1.246


No. 7
CsIr3I | GGA-PBEsol | relaxed

```
data_CsIr3I
_chemical_formula_sum 'Cs1 Ir3 I1'
_symmetry_space_group_name_H-M 'P m -3 m'
_symmetry_Int_Tables_number 221
_symmetry_space_group_name_Hall '-P 4 2 3'
_cell_length_a 4.975
_cell_length_b 4.975
_cell_length_c 4.975
_cell_angle_alpha 90.00
_cell_angle_beta 90.00
_cell_angle_gamma 90.00
loop_
_atom_site_label
_atom_site_fract_x
_atom_site_fract_y
_atom_site_fract_z
Cs1 0.000 0.000 0.000
Ir1 0.000 0.500 0.500
I1 0.500 0.500 0.500
```

Computed properties:
Uncorrected formation energy, eV per atom: 1.873


No. 8
CsIrIO2 | GGA-PBEsol | relaxed

```
data_CsIrIO2
_chemical_formula_sum 'Cs1 Ir1 I1 O2'
_symmetry_space_group_name_H-M 'P 4/m m m'
_symmetry_Int_Tables_number 123
_symmetry_space_group_name_Hall '-P 4 2'
_cell_length_a 4.348
_cell_length_b 4.348
_cell_length_c 5.336
_cell_angle_alpha 90.00
_cell_angle_beta 90.00
_cell_angle_gamma 90.00
loop_
_atom_site_label
_atom_site_fract_x
_atom_site_fract_y
_atom_site_fract_z
Cs1 0.000 0.000 0.000
Ir1 0.500 0.500 0.500
I1 0.500 0.500 0.000
O1 0.000 0.500 0.500
```

Computed properties:
Uncorrected formation energy, eV per atom: 0.005


No. 9
CsTe2IrI | GGA-PBEsol | relaxed

```
data_CsTe2IrI
_chemical_formula_sum 'Cs1 Te2 Ir1 I1'
_symmetry_space_group_name_H-M 'P 4/m m m'
_symmetry_Int_Tables_number 123
_symmetry_space_group_name_Hall '-P 4 2'
_cell_length_a 6.307
_cell_length_b 6.307
_cell_length_c 6.673
_cell_angle_alpha 90.00
_cell_angle_beta 90.00
_cell_angle_gamma 90.00
loop_
_atom_site_label
_atom_site_fract_x
_atom_site_fract_y
_atom_site_fract_z
Cs1 0.000 0.000 0.000
Te1 0.000 0.500 0.000
Ir1 0.500 0.500 0.500
I1 0.000 0.000 0.500
```

Computed properties:
Uncorrected formation energy, eV per atom: 2.101


No. 10
Cs2KI2 | GGA-PBEsol | relaxed

```
data_Cs2KI2
_chemical_formula_sum 'Cs4 K2 I4'
_symmetry_space_group_name_H-M 'I 4/m m m'
_symmetry_Int_Tables_number 139
_symmetry_space_group_name_Hall '-I 4 2'
_cell_length_a 6.922
_cell_length_b 6.922
_cell_length_c 14.504
_cell_angle_alpha 90.00
_cell_angle_beta 90.00
_cell_angle_gamma 90.00
loop_
_atom_site_label
_atom_site_fract_x
_atom_site_fract_y
_atom_site_fract_z
Cs1 0.000 0.000 0.167
K1 0.000 0.000 0.500
I1 0.000 0.500 0.250
```

Computed properties:
Uncorrected formation energy, eV per atom: -1.003


No. 11
Cs3KI | GGA-PBEsol | relaxed

```
data_Cs3KI
_chemical_formula_sum 'Cs3 K1 I1'
_symmetry_space_group_name_H-M 'P m -3 m'
_symmetry_Int_Tables_number 221
_symmetry_space_group_name_Hall '-P 4 2 3'
_cell_length_a 8.114
_cell_length_b 8.114
_cell_length_c 8.114
_cell_angle_alpha 90.00
_cell_angle_beta 90.00
_cell_angle_gamma 90.00
loop_
_atom_site_label
_atom_site_fract_x
_atom_site_fract_y
_atom_site_fract_z
Cs1 0.000 0.000 0.500
K1 0.000 0.000 0.000
I1 0.500 0.500 0.500
```

Computed properties:
Excess energy over the best structure of this formula in the dataset, eV per formula unit: 2.22
Uncorrected formation energy, eV per atom: -0.127


No. 12
Cs3KI | GGA-PBEsol | relaxed

```
data_Cs3KI
_chemical_formula_sum 'Cs3 K1 I1'
_symmetry_space_group_name_H-M 'P m -3 m'
_symmetry_Int_Tables_number 221
_symmetry_space_group_name_Hall '-P 4 2 3'
_cell_length_a 7.492
_cell_length_b 7.492
_cell_length_c 7.492
_cell_angle_alpha 90.00
_cell_angle_beta 90.00
_cell_angle_gamma 90.00
loop_
_atom_site_label
_atom_site_fract_x
_atom_site_fract_y
_atom_site_fract_z
Cs1 0.000 0.000 0.500
K1 0.500 0.500 0.500
I1 0.000 0.000 0.000
```

Computed properties:
Excess energy over the best structure of this formula in the dataset, eV per formula unit: 0.00
Uncorrected formation energy, eV per atom: -0.571


No. 13
CsKI2N | GGA-PBEsol | relaxed

```
data_CsKI2N
_chemical_formula_sum 'Cs1 K1 I2 N1'
_symmetry_space_group_name_H-M 'P 4/m m m'
_symmetry_Int_Tables_number 123
_symmetry_space_group_name_Hall '-P 4 2'
_cell_length_a 6.546
_cell_length_b 6.546
_cell_length_c 5.362
_cell_angle_alpha 90.00
_cell_angle_beta 90.00
_cell_angle_gamma 90.00
loop_
_atom_site_label
_atom_site_fract_x
_atom_site_fract_y
_atom_site_fract_z
Cs1 0.000 0.000 0.000
K1 0.500 0.500 0.500
I1 0.000 0.500 0.500
N1 0.500 0.500 0.000
```

Computed properties:
Uncorrected formation energy, eV per atom: -0.046


No. 14
Cs2KNdI6 | GGA-PBEsol | relaxed

```
data_Cs2KNdI6
_chemical_formula_sum 'Cs8 K4 Nd4 I24'
_symmetry_space_group_name_H-M 'F m -3 m'
_symmetry_Int_Tables_number 225
_symmetry_space_group_name_Hall '-F 4 2 3'
_cell_length_a 12.670
_cell_length_b 12.670
_cell_length_c 12.670
_cell_angle_alpha 90.00
_cell_angle_beta 90.00
_cell_angle_gamma 90.00
loop_
_atom_site_label
_atom_site_fract_x
_atom_site_fract_y
_atom_site_fract_z
Cs1 0.250 0.250 0.250
K1 0.000 0.000 0.000
Nd1 0.000 0.000 0.500
I1 0.000 0.000 0.259
```

Computed properties:
Uncorrected formation energy, eV per atom: -1.442


No. 15
Cs2KPrI6 | GGA-PBEsol | relaxed

```
data_Cs2KPrI6
_chemical_formula_sum 'Cs8 K4 Pr4 I24'
_symmetry_space_group_name_H-M 'F m -3 m'
_symmetry_Int_Tables_number 225
_symmetry_space_group_name_Hall '-F 4 2 3'
_cell_length_a 12.713
_cell_length_b 12.713
_cell_length_c 12.713
_cell_angle_alpha 90.00
_cell_angle_beta 90.00
_cell_angle_gamma 90.00
loop_
_atom_site_label
_atom_site_fract_x
_atom_site_fract_y
_atom_site_fract_z
Cs1 0.250 0.250 0.250
K1 0.000 0.000 0.000
Pr1 0.000 0.000 0.500
I1 0.000 0.000 0.258
```

Computed properties:
Uncorrected formation energy, eV per atom: -1.440


No. 16
CsKTe2I | GGA-PBEsol | relaxed

```
data_CsKTe2I
_chemical_formula_sum 'Cs1 K1 Te2 I1'
_symmetry_space_group_name_H-M 'P 4/m m m'
_symmetry_Int_Tables_number 123
_symmetry_space_group_name_Hall '-P 4 2'
_cell_length_a 6.285
_cell_length_b 6.285
_cell_length_c 6.414
_cell_angle_alpha 90.00
_cell_angle_beta 90.00
_cell_angle_gamma 90.00
loop_
_atom_site_label
_atom_site_fract_x
_atom_site_fract_y
_atom_site_fract_z
Cs1 0.000 0.000 0.000
K1 0.500 0.500 0.500
Te1 0.000 0.500 0.500
I1 0.500 0.500 0.000
```

Computed properties:
Excess energy over the best structure of this formula in the dataset, eV per formula unit: 0.00
Uncorrected formation energy, eV per atom: -0.199


No. 17
CsKTe2I | GGA-PBEsol | relaxed

```
data_CsKTe2I
_chemical_formula_sum 'Cs1 K1 Te2 I1'
_symmetry_space_group_name_H-M 'P 4/m m m'
_symmetry_Int_Tables_number 123
_symmetry_space_group_name_Hall '-P 4 2'
_cell_length_a 6.350
_cell_length_b 6.350
_cell_length_c 6.965
_cell_angle_alpha 90.00
_cell_angle_beta 90.00
_cell_angle_gamma 90.00
loop_
_atom_site_label
_atom_site_fract_x
_atom_site_fract_y
_atom_site_fract_z
Cs1 0.000 0.000 0.000
K1 0.500 0.500 0.500
Te1 0.000 0.500 0.000
I1 0.000 0.000 0.500
```

Computed properties:
Excess energy over the best structure of this formula in the dataset, eV per formula unit: 0.96
Uncorrected formation energy, eV per atom: -0.008


No. 18
Cs2KTlI6 | GGA-PBEsol | relaxed

```
data_Cs2KTlI6
_chemical_formula_sum 'Cs8 K4 Tl4 I24'
_symmetry_space_group_name_H-M 'F m -3 m'
_symmetry_Int_Tables_number 225
_symmetry_space_group_name_Hall '-F 4 2 3'
_cell_length_a 12.431
_cell_length_b 12.431
_cell_length_c 12.431
_cell_angle_alpha 90.00
_cell_angle_beta 90.00
_cell_angle_gamma 90.00
loop_
_atom_site_label
_atom_site_fract_x
_atom_site_fract_y
_atom_site_fract_z
Cs1 0.250 0.250 0.250
K1 0.000 0.000 0.000
Tl1 0.000 0.000 0.500
I1 0.000 0.000 0.263
```

Computed properties:
Uncorrected formation energy, eV per atom: -0.952


No. 19
Cs3LaI6 | GGA-PBEsol | relaxed

```
data_Cs3LaI6
_chemical_formula_sum 'Cs6 La2 I12'
_symmetry_space_group_name_H-M 'P 42/m'
_symmetry_Int_Tables_number 84
_symmetry_space_group_name_Hall '-P 4c'
_cell_length_a 10.462
_cell_length_b 10.462
_cell_length_c 8.649
_cell_angle_alpha 90.00
_cell_angle_beta 90.00
_cell_angle_gamma 90.00
loop_
_atom_site_label
_atom_site_fract_x
_atom_site_fract_y
_atom_site_fract_z
Cs1 0.000 0.000 0.000
Cs2 0.231 0.592 0.000
La1 0.000 0.500 0.500
I1 0.067 0.297 0.245
I2 0.288 0.575 0.500
```

Computed properties:
Uncorrected formation energy, eV per atom: -1.545


No. 20
CsLaI2N | GGA-PBEsol | relaxed

```
data_CsLaI2N
_chemical_formula_sum 'Cs1 La1 I2 N1'
_symmetry_space_group_name_H-M 'P 4/m m m'
_symmetry_Int_Tables_number 123
_symmetry_space_group_name_Hall '-P 4 2'
_cell_length_a 6.564
_cell_length_b 6.564
_cell_length_c 4.205
_cell_angle_alpha 90.00
_cell_angle_beta 90.00
_cell_angle_gamma 90.00
loop_
_atom_site_label
_atom_site_fract_x
_atom_site_fract_y
_atom_site_fract_z
Cs1 0.000 0.000 0.000
La1 0.500 0.500 0.500
I1 0.000 0.500 0.500
N1 0.500 0.500 0.000
```

Computed properties:
Uncorrected formation energy, eV per atom: -1.037